DFT (PBE) results for crystalline LaCd2IrC at its relaxed geometry.

Structure (POSCAR):
```
LaCd2IrC
1.0
6.757 0.000 0.000
0.000 6.757 0.000
0.000 0.000 4.913
Cd C Ir La
2 1 1 1
direct
0.000 0.500 0.000
0.500 0.000 0.000
0.500 0.500 0.500
0.000 0.000 0.500
0.000 0.000 0.000
```

Computed properties:
The volume comes out at 44.86 Å³/atom. As for the formation energy: 2.107 eV/atom.